No. 1
A plane-wave DFT calculation with PBE was carried out for a geometry-optimized Sm2ScTl structure.

Properties
Total energy (eV/cell): -55.26
N(E_F) (states/eV per cell): 18.223
Formation enthalpy at 0 K (kcal/mol of atoms): -1.63

Lattice parameters (Å, degrees): 3.5523 3.5523 32.7667 90.00 90.00 120.00
With the nearest neighbours (Å) after each atom.
Space group R3m (No. 160, hexagonal axes)
One atom of each set of equivalent atoms:
Sm (0.0000, 0.0000, 0.0000) (multiplicity 3)  3 Sc 3.40, 3 Tl 3.43, 6 Sm 3.55
Sm (0.0000, 0.0000, 0.1653) (multiplicity 3)  3 Sc 3.40, 3 Tl 3.43, 6 Sm 3.55
Sc (0.0000, 0.0000, 0.4160) (multiplicity 3)  6 Sm 3.40, 6 Sc 3.55
Tl (0.0000, 0.0000, 0.5826) (multiplicity 3)  6 Sm 3.43, 6 Tl 3.55

=====

No. 2
A plane-wave DFT calculation with PBE was carried out for a geometry-optimized Sm2ScTl4 structure.

Properties
Total energy (eV/cell): -53.35
N(E_F) (states/eV per cell): 13.461
Formation enthalpy at 0 K (kcal/mol of atoms): -4.75

Lattice parameters (Å, degrees): 7.1696 7.1696 8.1032 90.00 90.00 90.00
With the nearest neighbours (Å) after each atom.
Space group I4/mmm (No. 139)
One atom of each set of equivalent atoms:
Sm (0.0000, 0.5000, 0.0000) (multiplicity 4)  8 Tl 3.24, 2 Sc 3.58
Sc (0.0000, 0.0000, 0.0000) (multiplicity 2)  8 Tl 3.24, 4 Sm 3.58
Tl (0.2500, 0.2500, 0.2500) (multiplicity 8)  2 Sc 3.24, 4 Sm 3.24, 4 Tl 3.58

=====

No. 3
A plane-wave DFT calculation with PBE was carried out for a geometry-optimized SmSc2Tl2 structure.

Properties
Total energy (eV/cell): -43.77
N(E_F) (states/eV per cell): 9.885
Formation enthalpy at 0 K (kcal/mol of atoms): 1.06

Lattice parameters (Å, degrees): 5.3750 7.8611 6.6152 90.00 90.00 90.00
With the nearest neighbours (Å) after each atom.
Space group Cmmm (No. 65)
One atom of each set of equivalent atoms:
Sm (0.0000, 0.0000, 0.0000) (multiplicity 2)  4 Tl 3.18
Sc (0.0000, 0.1790, 0.5000) (multiplicity 4)  3 Sc 2.81-2.91, 2 Tl 2.99
Tl (0.0000, 0.5000, 0.2562) (multiplicity 4)  2 Sc 2.99, 2 Sm 3.18, 1 Tl 3.23

=====

No. 4
A plane-wave DFT calculation with PBE was carried out for a geometry-optimized SmSc3Tl2 structure.

Properties
Total energy (eV/cell): -117.54
N(E_F) (states/eV per cell): 31.110
Formation enthalpy at 0 K (kcal/mol of atoms): -3.61

Lattice parameters (Å, degrees): 15.7502 5.1535 8.8471 90.00 119.56 90.00
With the nearest neighbours (Å) after each atom.
Space group C2/m (No. 12)
One atom of each set of equivalent atoms:
Sm (0.1320, 0.0000, 0.1672) (multiplicity 4)  5 Tl 3.24-3.41, 5 Sc 3.45-3.61
Sc (0.0588, 0.0000, 0.7106) (multiplicity 4)  3 Tl 3.15, 6 Sc 3.24-3.50
Sc (0.1111, 0.5000, 0.5467) (multiplicity 4)  3 Tl 2.85-3.00, 1 Sc 3.17
Sc (0.2000, 0.5000, 0.9897) (multiplicity 4)  2 Tl 2.88-3.22, 2 Sc 2.98
Tl (0.0099, 0.5000, 0.1757) (multiplicity 4)  4 Sc 2.85-3.15, 1 Tl 2.97
Tl (0.2193, 0.0000, 0.5973) (multiplicity 4)  4 Sc 3.00-3.22, 1 Sm 3.35

=====

No. 5
A plane-wave DFT calculation with PBE was carried out for a geometry-optimized SmTm2ScTl4 structure.

Properties
Total energy (eV/cell): -95.44
N(E_F) (states/eV per cell): 19.701
Formation enthalpy at 0 K (kcal/mol of atoms): -6.79

Lattice parameters (Å, degrees): 5.2930 5.2930 26.1241 90.00 90.00 120.00
With the nearest neighbours (Å) after each atom.
Space group R-3m (No. 166, hexagonal axes)
One atom of each set of equivalent atoms:
Sm (0.0000, 0.0000, 0.0000) (multiplicity 3)  8 Tl 3.27-3.33
Tm (0.0000, 0.0000, 0.2486) (multiplicity 6)  8 Tl 3.17-3.38
Sc (0.0000, 0.0000, 0.5000) (multiplicity 3)  8 Tl 3.19-3.22
Tl (0.0000, 0.0000, 0.1274) (multiplicity 6)  4 Tm 3.17-3.25, 3 Sc 3.22, 1 Sm 3.33
Tl (0.0000, 0.0000, 0.3778) (multiplicity 6)  1 Sc 3.19, 4 Tm 3.23-3.38, 3 Sm 3.27

=====

No. 6
A plane-wave DFT calculation with PBE was carried out for a geometry-optimized SmTm2ScTl2 structure.

Properties
Total energy (eV/cell): -52.47
N(E_F) (states/eV per cell): 12.315
Formation enthalpy at 0 K (kcal/mol of atoms): -5.81

Lattice parameters (Å, degrees): 4.9628 9.7365 6.8575 90.00 90.00 90.00
With the nearest neighbours (Å) after each atom.
Space group Pmc2_1 (No. 26)
One atom of each set of equivalent atoms:
Sm (0.0000, 0.0475, 0.0000) (multiplicity 2)  5 Tl 3.21-3.38, 2 Sc 3.49, 2 Sm 3.55
Tm (0.0000, 0.3137, 0.3919) (multiplicity 2)  4 Tl 3.11-3.18, 2 Tm 3.46
Tm (0.5000, 0.4517, 0.0992) (multiplicity 2)  5 Tl 3.17-3.46, 2 Tm 3.46, 1 Sc 3.49
Sc (0.5000, 0.1992, 0.7134) (multiplicity 2)  4 Tl 3.09-3.20
Tl (0.0000, 0.3663, 0.8391) (multiplicity 2)  2 Sc 3.09, 4 Tm 3.11-3.17, 1 Sm 3.29
Tl (0.5000, 0.1263, 0.2742) (multiplicity 2)  2 Sc 3.09-3.20, 3 Tm 3.18-3.39, 4 Sm 3.21-3.38

=====

The lowest total energy belongs to which entry? SmSc3Tl2

=====

What is the total energy in the fifth record? -95.44 eV/cell

=====

Look up the formation enthalpy at 0 K of the second one. -4.75 kcal/mol of atoms